Record 1
First-principles (PBE-GGA) data for GdDySb after structural relaxation, as listed in Alexandria.

Cell lengths 5.998, 5.998, 5.998 Å; angles 141.02, 141.02, 56.31 degrees
Fractional positions:
Gd 0.000 0.000 0.000
Dy 0.308 0.308 0.000
Sb 0.658 0.658 0.000

- space-group type = No. 107
- raw total energy (eV per cell) = -24.81
- formation energy (no corrections) (eV per atom) = -0.669

Record 2
First-principles (PBE-GGA) data for GdDySb after structural relaxation, as listed in Alexandria.

Cell lengths 5.073, 5.073, 4.018 Å; angles 90.00, 90.00, 120.00 degrees
Fractional positions:
Gd 0.000 0.000 0.000
Dy 0.333 0.667 0.471
Sb 0.667 0.333 0.684

- space-group type = No. 156
- raw total energy (eV per cell) = -24.15
- formation energy (no corrections) (eV per atom) = -0.449

Record 3
First-principles (PBE-GGA) data for GdDy2Sb after structural relaxation, as listed in Alexandria.

Cell lengths 9.945, 9.945, 9.945 Å; angles 23.15, 23.15, 23.15 degrees
Fractional positions:
Gd 0.000 0.000 0.000
Dy 0.234 0.234 0.234
Dy 0.766 0.766 0.766
Sb 0.500 0.500 0.500

- space-group type = No. 166
- raw total energy (eV per cell) = -28.68
- formation energy (no corrections) (eV per atom) = -0.317

Record 4
First-principles (PBE-GGA) data for GdDy2Sc after structural relaxation, as listed in Alexandria.

Cell lengths 3.493, 3.493, 9.777 Å; angles 90.00, 90.00, 90.00 degrees
Fractional positions:
Gd 0.000 0.000 0.000
Dy 0.500 0.500 0.263
Dy 0.500 0.500 0.737
Sc 0.000 0.000 0.500

- space-group type = No. 123
- raw total energy (eV per cell) = -29.44

Record 5
First-principles (PBE-GGA) data for GdDy2Sc after structural relaxation, as listed in Alexandria.

Cell lengths 4.909, 4.909, 4.932 Å; angles 90.00, 90.00, 90.00 degrees
Fractional positions:
Gd 0.000 0.000 0.000
Dy 0.000 0.500 0.500
Dy 0.500 0.000 0.500
Sc 0.500 0.500 0.000

- space-group type = No. 123
- raw total energy (eV per cell) = -29.46

Record 6
First-principles (PBE-GGA) data for GdDy2Sc after structural relaxation, as listed in Alexandria.

Cell lengths 5.542, 5.542, 5.542 Å; angles 60.00, 60.00, 60.00 degrees
Fractional positions:
Gd 0.000 0.000 0.000
Dy 0.250 0.250 0.250
Dy 0.750 0.750 0.750
Sc 0.500 0.500 0.500

- space-group type = No. 225
- raw total energy (eV per cell) = -29.08

Record 7
First-principles (PBE-GGA) data for GdDySc after structural relaxation, as listed in Alexandria.

Cell lengths 7.628, 7.628, 7.628 Å; angles 153.52, 153.52, 37.79 degrees
Fractional positions:
Gd 0.000 0.000 0.000
Dy 0.678 0.678 0.000
Sc 0.337 0.337 0.000

- space-group type = No. 107
- raw total energy (eV per cell) = -24.87

Record 8
First-principles (PBE-GGA) data for GdDySc after structural relaxation, as listed in Alexandria.

Cell lengths 3.473, 3.473, 8.405 Å; angles 90.00, 90.00, 120.00 degrees
Fractional positions:
Gd 0.000 0.000 0.000
Dy 0.667 0.333 0.354
Sc 0.333 0.667 0.674

- space-group type = No. 156
- raw total energy (eV per cell) = -24.86

Record 9
First-principles (PBE-GGA) data for SmGdDySc after structural relaxation, as listed in Alexandria.

Cell lengths 5.568, 5.568, 5.568 Å; angles 60.00, 60.00, 60.00 degrees
Fractional positions:
Sm 0.000 0.000 0.000
Gd 0.500 0.500 0.500
Dy 0.250 0.250 0.250
Sc 0.750 0.750 0.750

- space-group type = No. 216
- raw total energy (eV per cell) = -29.30

Record 10
First-principles (PBE-GGA) data for GdDyScSn after structural relaxation, as listed in Alexandria.

Cell lengths 5.326, 5.326, 5.326 Å; angles 60.00, 60.00, 60.00 degrees
Fractional positions:
Gd 0.000 0.000 0.000
Dy 0.500 0.500 0.500
Sc 0.250 0.250 0.250
Sn 0.750 0.750 0.750

- space-group type = No. 216
- raw total energy (eV per cell) = -30.09

Record 11
First-principles (PBE-GGA) data for TbGdDySc after structural relaxation, as listed in Alexandria.

Cell lengths 5.544, 5.544, 5.544 Å; angles 60.00, 60.00, 60.00 degrees
Fractional positions:
Tb 0.000 0.000 0.000
Gd 0.500 0.500 0.500
Dy 0.250 0.250 0.250
Sc 0.750 0.750 0.750

- space-group type = No. 216
- raw total energy (eV per cell) = -29.18

Record 12
First-principles (PBE-GGA) data for GdDyThSc after structural relaxation, as listed in Alexandria.

Cell lengths 5.551, 5.551, 5.551 Å; angles 60.00, 60.00, 60.00 degrees
Fractional positions:
Gd 0.000 0.000 0.000
Dy 0.250 0.250 0.250
Th 0.500 0.500 0.500
Sc 0.750 0.750 0.750

- space-group type = No. 216
- raw total energy (eV per cell) = -32.00